# 1
4
Lattice="-3.3887 0.6428 -0.6671 -0.8913 -1.5724 3.0123 0.5341 6.5027 3.5524" Properties=species:S:1:pos:R:3 comment="GGA-PBE CeInAu2, optimized geometry" mass_density_g_cm3=11.75 formation_enthalpy_0k_ev_per_atom=-0.463 pbc="T T T"
Au 0.1281 1.5596 0.8520
Au 0.4060 4.9431 2.7004
Ce -1.8729 2.7865 2.9488
In -2.1400 -0.4648 1.1726

---

# 2
8
Lattice="5.0750 0.0000 0.0000 0.0000 5.0750 0.0000 0.0000 0.0000 5.0750" Properties=species:S:1:pos:R:3 comment="GGA-PBE GeOs, optimized geometry" mass_density_g_cm3=13.36 formation_enthalpy_0k_ev_per_atom=0.847 pbc="T T T"
Os 2.5375 2.5375 2.5375
Os 0.0000 0.0000 2.5375
Os 0.0000 2.5375 0.0000
Os 2.5375 0.0000 0.0000
Ge 0.0000 0.0000 0.0000
Ge 2.5375 2.5375 0.0000
Ge 2.5375 0.0000 2.5375
Ge 0.0000 2.5375 2.5375

---

# 3
9
Lattice="-0.4507 -1.7156 5.5412 -1.5583 -7.0114 -1.7770 5.8583 -4.5021 -0.3968" Properties=species:S:1:pos:R:3 comment="GGA-PBE NpIn2Br4F2, optimized geometry" mass_density_g_cm3=4.76 e_form_raw_ev_per_atom=-1.5733 pbc="T T T"
Br 0.5154 -8.9523 2.2702
Br 4.1549 -7.7209 2.9475
Br 3.3339 -4.2767 1.0971
Br -0.3056 -5.5081 0.4199
Np -0.2254 -0.8578 2.7706
In 1.0308 -4.9769 3.5094
In 2.8185 -8.2521 -0.1420
F 3.4486 -11.4730 2.3279
F 0.4007 -1.7561 1.0395